A plane-wave DFT calculation with GGA-PBE was carried out for crystalline Sr2YZr at its relaxed geometry.

```
4
Lattice="6.218 0.000 0.000 1.389 6.060 0.000 -3.803 -3.030 3.874" Properties=species:S:1:pos:R:3 pbc="T T T"
Y 3.803 3.030 0.000
Sr 0.695 3.030 1.937
Sr 0.000 0.000 0.000
Zr 3.109 0.000 1.937
```

space-group type	I-4m2, No. 119
excess energy over the best structure of this formula in the dataset	222	meV per atom
ΔH_f (0 K)	0.475	eV per atom
total moment	0.646	μB/atom
crystal system	tetragonal